[1]
Compound: Tb4PrMg
Source: Alexandria
Functional: PBE-GGA
Structure: relaxed

abc: 5.0064 15.0417 9.9569
angles: 90.00 90.00 90.00
Closest atoms and distances in Å follow each position.
Space group Cmc2_1 (No. 36)
Inequivalent atoms, fractional coordinates:
Tb1 0.0000 0.0011 0.0000  8 Tb 3.48-3.55, 2 Pr 3.51-3.58, 2 Mg 3.54
Tb2 0.0000 0.1653 0.2466  7 Tb 3.48-3.56, 3 Mg 3.55, 2 Pr 3.55
Tb3 0.0000 0.3329 0.4997  3 Pr 3.51-3.54, 7 Tb 3.51-3.56, 2 Mg 3.55
Tb4 0.0000 0.4982 0.7503  2 Mg 3.49-3.55, 8 Tb 3.51-3.55, 2 Pr 3.57
Pr1 0.0000 0.1674 0.7532  9 Tb 3.51-3.58, 3 Mg 3.51-3.56
Mg1 0.0000 0.3349 0.9988  9 Tb 3.49-3.55, 3 Pr 3.51-3.56

## Properties
ΔE to the lowest computed polymorph (eV per atom): 0.0308
Energy of formation from the pure elements (eV/atom): 0.0180



[2]
Compound: Tb3PrMg2
Source: Alexandria
Functional: PBE-GGA
Structure: relaxed

abc: 3.7202 3.7202 12.8964
angles: 90.00 90.00 90.00
Closest atoms and distances in Å follow each position.
Space group P4/mmm (No. 123)
Inequivalent atoms, fractional coordinates:
Tb1 0.0000 0.0000 0.0000  8 Mg 3.27
Tb2 0.0000 0.0000 0.3039  4 Mg 3.29, 4 Pr 3.65
Pr1 0.5000 0.5000 0.5000  8 Tb 3.65, 4 Pr 3.72
Mg1 0.5000 0.5000 0.1505  8 Tb 3.27-3.29

## Properties
Energy of formation from the pure elements (eV/atom): -0.0477



[3]
Compound: Tb2Pr3Mg
Source: Alexandria
Functional: PBE-GGA
Structure: relaxed

abc: 21.1328 3.7302 11.6950
angles: 90.00 120.87 90.00
Closest atoms and distances in Å follow each position.
Space group C2/m (No. 12)
Inequivalent atoms, fractional coordinates:
Tb1 0.0576 0.0000 0.4327  4 Mg 3.34-3.35, 5 Tb 3.50-3.73, 3 Pr 3.60-3.61
Tb2 0.2211 0.5000 0.5882  6 Tb 3.44-3.73, 1 Mg 3.49, 5 Pr 3.55-3.67
Pr1 0.0731 0.0000 0.9214  2 Mg 3.44, 1 Tb 3.61, 8 Pr 3.71-3.75
Pr2 0.1055 0.5000 0.2246  5 Tb 3.60-3.67, 7 Pr 3.70-3.75
Pr3 0.2474 0.5000 0.1285  2 Mg 3.42, 2 Tb 3.55, 7 Pr 3.59-3.73
Mg1 0.0958 0.5000 0.6981  5 Tb 3.34-3.49, 4 Pr 3.42-3.44, 2 Mg 3.73

## Properties
ΔE to the lowest computed polymorph (eV per atom): 0.0248
Energy of formation from the pure elements (eV/atom): 0.0052



Energy
In order: -4.13, -3.69, -4.19
Unit: eV per atom
DOS(E_F)
In order: 32.61, 7.78, 31.43
Unit: states/eV/cell